(1)
Crystalline KTePtAuS2 at its relaxed geometry, computed with PBE.

Lattice parameters (Å, degrees): 8.5191 8.5191 10.7815 90.00 90.00 155.65
Sites, in units of the cell vectors:
Au  0.6001  0.3999  0.7500
K  0.7362  0.2638  0.2500
S  0.5947  0.4053  0.5321
Au  0.3999  0.6001  0.2500
Te  0.0587  0.9413  0.2500
S  0.4053  0.5947  0.4679
S  0.5947  0.4053  0.9679
K  0.2638  0.7362  0.7500
S  0.4053  0.5947  0.0321
Pt  0.0000  0.0000  0.0000
Te  0.9413  0.0587  0.7500
Pt  0.0000  0.0000  0.5000

V (Å³/cell): 323
DFT total energy (eV/cell): -48.242
SG: No. 63
M_tot (μB/f.u.): 0.001

---

(2)
Crystalline KPtAuSe3 at its relaxed geometry, computed with PBE.

Lattice parameters (Å, degrees): 3.8150 8.2084 10.5375 90.00 90.00 76.56
Sites, in units of the cell vectors:
K  0.2793  0.4414  0.2500
Au  0.6081  0.7838  0.2500
Se  0.6038  0.7923  0.0175
Pt  0.0000  0.0000  0.5000
Se  0.0446  0.9108  0.7500
Se  0.9554  0.0892  0.2500
Se  0.3962  0.2077  0.9825
K  0.7207  0.5586  0.7500
Se  0.3962  0.2077  0.5175
Au  0.3919  0.2162  0.7500
Se  0.6038  0.7923  0.4825
Pt  0.0000  0.0000  0.0000

V (Å³/cell): 321
DFT total energy (eV/cell): -46.388
SG: No. 63
M_tot (μB/f.u.): 0.019

---

(3)
Crystalline KPtAu3Se4 at its relaxed geometry, computed with PBE.

Lattice parameters (Å, degrees): 6.4676 6.4676 6.4676 90.00 90.00 90.00
Sites, in units of the cell vectors:
K  0.0000  0.0000  0.0000
Se  0.2808  0.2808  0.2808
Se  0.7192  0.2808  0.7192
Se  0.2808  0.7192  0.7192
Au  0.5000  0.5000  0.0000
Pt  0.5000  0.5000  0.5000
Se  0.7192  0.7192  0.2808
Au  0.5000  0.0000  0.5000
Au  0.0000  0.5000  0.5000

V (Å³/cell): 271
DFT total energy (eV/cell): -31.046
SG: No. 215
M_tot (μB/f.u.): 0.012

---

(4)
Crystalline KTe4PtAu3 at its relaxed geometry, computed with PBE.

Lattice parameters (Å, degrees): 6.7926 6.7926 6.7926 90.00 90.00 90.00
Sites, in units of the cell vectors:
Te  0.2798  0.2798  0.2798
K  0.0000  0.0000  0.0000
Te  0.2798  0.7202  0.7202
Au  0.0000  0.5000  0.5000
Pt  0.5000  0.5000  0.5000
Au  0.5000  0.0000  0.5000
Te  0.7202  0.2798  0.7202
Te  0.7202  0.7202  0.2798
Au  0.5000  0.5000  0.0000

V (Å³/cell): 313
DFT total energy (eV/cell): -30.075
SG: No. 215
M_tot (μB/f.u.): 0.004

---

(5)
Crystalline KPuAu at its relaxed geometry, computed with PBE.

Lattice parameters (Å, degrees): 5.1830 5.1830 5.1830 60.00 60.00 60.00
Sites, in units of the cell vectors:
Pu  0.0000  0.0000  0.0000
Au  0.2500  0.2500  0.2500
K  0.7500  0.7500  0.7500

Polymorph energy (0 for the lowest one) (meV/atom): 0
V (Å³/cell): 98
SG: No. 216
M_tot (μB/f.u.): 6.275

---

(6)
Crystalline KRb2Au at its relaxed geometry, computed with PBE.

Lattice parameters (Å, degrees): 12.7584 12.7584 9.3275 90.00 90.00 157.59
Sites, in units of the cell vectors:
Rb  0.1788  0.8212  0.7460
Au  0.2829  0.7171  0.0000
Rb  0.8212  0.1788  0.7460
Rb  0.1788  0.8212  0.2540
Rb  0.8212  0.1788  0.2540
K  0.4212  0.5788  0.0000
K  0.5788  0.4212  0.0000
Au  0.7171  0.2829  0.0000

V (Å³/cell): 579
DFT total energy (eV/cell): -13.199
SG: No. 65